## w
## Tb2PrRh (GGA-PBE)

Data for a geometry-optimized Tb2PrRh structure.

N(E_F) = 1.165 states/eV per atom

Cell: 7.2473 9.6276 6.4651 Å, 90.00 90.00 90.00°
With the nearest neighbours (Å) after each atom.
Fractional coordinates of all 16 atoms:
Tb 0.1757 0.0653 0.1693  2 Rh 2.84-2.85
Tb 0.1757 0.4347 0.1693  2 Rh 2.84-2.85
Tb 0.3243 0.5653 0.6693  2 Rh 2.84-2.85
Tb 0.3243 0.9347 0.6693  2 Rh 2.84-2.85
Tb 0.6757 0.0653 0.3307  2 Rh 2.84-2.85
Tb 0.6757 0.4347 0.3307  2 Rh 2.84-2.85
Tb 0.8243 0.5653 0.8307  2 Rh 2.84-2.85
Tb 0.8243 0.9347 0.8307  2 Rh 2.84-2.85
Pr 0.0346 0.2500 0.6380  2 Rh 2.87-3.03
Pr 0.4654 0.7500 0.1380  2 Rh 2.87-3.03
Pr 0.5346 0.2500 0.8620  2 Rh 2.87-3.03
Pr 0.9654 0.7500 0.3620  2 Rh 2.87-3.03
Rh 0.1174 0.7500 0.9247  4 Tb 2.84-2.85, 2 Pr 2.87-3.03
Rh 0.3826 0.2500 0.4247  4 Tb 2.84-2.85, 2 Pr 2.87-3.03
Rh 0.6174 0.7500 0.5753  4 Tb 2.84-2.85, 2 Pr 2.87-3.03
Rh 0.8826 0.2500 0.0753  4 Tb 2.84-2.85, 2 Pr 2.87-3.03



## x
## Tb2PrRh (GGA-PBE)

Data for a geometry-optimized Tb2PrRh structure.

N(E_F) = 1.162 states/eV per atom

Cell: 3.5255 3.5255 8.8221 Å, 90.00 90.00 90.00°
With the nearest neighbours (Å) after each atom.
Fractional coordinates of all 4 atoms:
Tb 0.0000 0.0000 0.1851  4 Rh 2.98, 1 Tb 3.27
Tb 0.0000 0.0000 0.8149  4 Rh 2.98, 1 Tb 3.27
Pr 0.5000 0.5000 0.5000  4 Pr 3.53, 8 Tb 3.73
Rh 0.5000 0.5000 0.0000  8 Tb 2.98



## y
## Tb2PrRh (GGA-PBE)

Data for a geometry-optimized Tb2PrRh structure.

N(E_F) = 1.232 states/eV per atom

Cell: 9.4692 9.4692 9.4692 Å, 23.82 23.82 23.82°
With the nearest neighbours (Å) after each atom.
Fractional coordinates of all 4 atoms:
Tb 0.0000 0.0000 0.0000  3 Rh 2.76
Tb 0.2186 0.2186 0.2186  3 Rh 2.76
Pr 0.4445 0.4445 0.4445  6 Tb 3.72-3.81, 6 Pr 3.91
Rh 0.6092 0.6092 0.6092  6 Tb 2.76



Most stable: w (next structure +0.077 eV/atom)



## w
## TbPr3Rh (GGA-PBE)

Data for a geometry-optimized TbPr3Rh structure.

N(E_F) = 2.001 states/eV per atom

Cell: 5.6082 5.6082 5.6082 Å, 90.00 90.00 90.00°
With the nearest neighbours (Å) after each atom.
Fractional coordinates of all 5 atoms:
Tb 0.0000 0.0000 0.0000  12 Pr 3.97
Pr 0.0000 0.5000 0.5000  2 Rh 2.80
Pr 0.5000 0.0000 0.5000  2 Rh 2.80
Pr 0.5000 0.5000 0.0000  2 Rh 2.80
Rh 0.5000 0.5000 0.5000  6 Pr 2.80



## x
## TbPr3Rh (GGA-PBE)

Data for a geometry-optimized TbPr3Rh structure.

N(E_F) = 1.250 states/eV per atom

Cell: 7.5577 7.5577 7.5577 Å, 101.53 120.83 106.72°
With the nearest neighbours (Å) after each atom.
Fractional coordinates of all 10 atoms:
Tb 0.0292 0.2500 0.2792  2 Rh 2.79-2.80
Tb 0.9708 0.7500 0.7208  2 Rh 2.79-2.80
Pr 0.4875 0.2460 0.7415  2 Rh 2.88-2.90
Pr 0.4995 0.2058 0.2092  1 Rh 2.79
Pr 0.4995 0.7903 0.7937  1 Rh 2.79
Pr 0.5045 0.7460 0.2585  2 Rh 2.88-2.90
Pr 0.9966 0.2903 0.7908  1 Rh 2.79
Pr 0.9966 0.7058 0.2063  1 Rh 2.79
Rh 0.5031 0.4979 0.5052  2 Tb 2.79-2.80, 4 Pr 2.79-2.90
Rh 0.9928 0.9979 0.4948  2 Tb 2.79-2.80, 4 Pr 2.79-2.90



Most stable: x (next structure +0.167 eV/atom)



## w
## Tb2PrRh2 (GGA-PBE)

Data for a geometry-optimized Tb2PrRh2 structure.

N(E_F) = 0.706 states/eV per atom

Cell: 4.5466 4.5466 6.6974 Å, 107.15 107.15 89.98°
With the nearest neighbours (Å) after each atom.
Fractional coordinates of all 5 atoms:
Tb 0.2466 0.7534 0.0000  4 Rh 2.86-2.88, 1 Tb 3.17
Tb 0.7534 0.2466 0.0000  4 Rh 2.86-2.88, 1 Tb 3.17
Pr 0.5000 0.5000 0.5000  6 Rh 3.23-3.47
Rh 0.1316 0.1316 0.7125  1 Rh 2.64, 4 Tb 2.86-2.88
Rh 0.8684 0.8684 0.2875  1 Rh 2.64, 4 Tb 2.86-2.88



## x
## Tb2PrRh2 (GGA-PBE)

Data for a geometry-optimized Tb2PrRh2 structure.

N(E_F) = 0.769 states/eV per atom

Cell: 13.4007 13.4007 4.7290 Å, 90.00 90.00 163.36°
With the nearest neighbours (Å) after each atom.
Fractional coordinates of all 10 atoms:
Tb 0.0510 0.9490 0.7500  7 Rh 2.92-3.10
Tb 0.2646 0.7354 0.2500  2 Rh 2.74
Tb 0.7354 0.2646 0.7500  2 Rh 2.74
Tb 0.9490 0.0510 0.2500  7 Rh 2.92-3.10
Pr 0.3639 0.6361 0.7500  1 Rh 2.77
Pr 0.6361 0.3639 0.2500  1 Rh 2.77
Rh 0.1624 0.8376 0.7500  3 Tb 2.74-2.96
Rh 0.4685 0.5315 0.7500  1 Pr 2.77, 2 Rh 2.89, 6 Tb 2.92-3.10
Rh 0.5315 0.4685 0.2500  1 Pr 2.77, 2 Rh 2.89, 6 Tb 2.92-3.10
Rh 0.8376 0.1624 0.2500  3 Tb 2.74-2.96



Most stable: x (next structure +0.038 eV/atom)